(1)
The following is a PBE calculation of Tc2NiW after structural relaxation, from Alexandria.

Unit cell a=4.6382 b=4.6382 c=4.6382 alpha=130.38 beta=130.38 gamma=72.80
Closest atoms and distances in Å follow each position.
Fractional positions:
Tc  0.2500  0.7500  0.5000  4 W 2.70, 4 Ni 2.70, 4 Tc 2.75
Tc  0.7500  0.2500  0.5000  4 W 2.70, 4 Ni 2.70, 4 Tc 2.75
Ni  0.0000  0.0000  0.0000  8 Tc 2.70, 4 W 2.75
W  0.5000  0.5000  0.0000  8 Tc 2.70, 4 Ni 2.75

Results
Space group ... I4/mmm, No. 139
Density ... 12.9 g cm⁻³
Total magnetic moment ... 0.000 μB per formula unit
DOS(E_F) ... 0.9056 states/eV/atom
Electronic total energy ... -9.788 eV/atom
Crystal system ... tetragonal
Polymorph energy (0 for the lowest one) ... 0.093 eV per atom


(2)
The following is a PBE calculation of Pm2PrSc2 after structural relaxation, from Alexandria.

Unit cell a=9.1494 b=9.1494 c=3.7057 alpha=90.00 beta=90.00 gamma=90.00
Closest atoms and distances in Å follow each position.
Fractional positions:
Pm  0.1300  0.3700  0.0000  6 Sc 3.21-3.31, 1 Pm 3.36, 2 Pr 3.59
Pm  0.3700  0.8700  0.0000  6 Sc 3.21-3.31, 1 Pm 3.36, 2 Pr 3.59
Pm  0.6300  0.1300  0.0000  6 Sc 3.21-3.31, 1 Pm 3.36, 2 Pr 3.59
Pm  0.8700  0.6300  0.0000  6 Sc 3.21-3.31, 1 Pm 3.36, 2 Pr 3.59
Pr  0.0000  0.0000  0.0000  4 Pm 3.59, 2 Pr 3.71, 8 Sc 3.88
Pr  0.5000  0.5000  0.0000  4 Pm 3.59, 2 Pr 3.71, 8 Sc 3.88
Sc  0.1673  0.6673  0.5000  6 Pm 3.21-3.31
Sc  0.3327  0.1673  0.5000  6 Pm 3.21-3.31
Sc  0.6673  0.8327  0.5000  6 Pm 3.21-3.31
Sc  0.8327  0.3327  0.5000  6 Pm 3.21-3.31

Results
Space group ... P4/mbm, No. 127
Density ... 5.6 g cm⁻³
Total magnetic moment ... 0.000 μB per formula unit
DOS(E_F) ... 1.1042 states/eV/atom
Electronic total energy ... -5.289 eV/atom
Crystal system ... tetragonal
Polymorph energy (0 for the lowest one) ... 0.040 eV per atom


(3)
The following is a PBE calculation of Pa3CoTc after structural relaxation, from Alexandria.

Unit cell a=7.6886 b=3.6029 c=7.9803 alpha=90.00 beta=110.90 gamma=90.00
Closest atoms and distances in Å follow each position.
Fractional positions:
Pa  0.0480  0.2500  0.1779  1 Co 2.69, 2 Tc 2.77
Pa  0.2054  0.7500  0.5388  3 Co 2.83-2.87, 2 Tc 2.92
Pa  0.4069  0.7500  0.1524  2 Co 2.64, 1 Tc 2.75
Pa  0.5931  0.2500  0.8476  2 Co 2.64, 1 Tc 2.75
Pa  0.7946  0.2500  0.4612  3 Co 2.83-2.87, 2 Tc 2.92
Pa  0.9520  0.7500  0.8221  1 Co 2.69, 2 Tc 2.77
Co  0.4076  0.2500  0.3950  2 Co 2.52, 3 Pa 2.64-2.69
Co  0.5924  0.7500  0.6050  2 Co 2.52, 3 Pa 2.64-2.69
Tc  0.2302  0.2500  0.8341  7 Pa 2.75-3.01
Tc  0.7698  0.7500  0.1659  7 Pa 2.75-3.01

Results
Space group ... P2_1/m, No. 11
Density ... 13.7 g cm⁻³
Total magnetic moment ... 0.000 μB per formula unit
DOS(E_F) ... 1.3649 states/eV/atom
Electronic total energy ... -9.407 eV/atom
Crystal system ... monoclinic


(4)
The following is a PBE calculation of PuNb2V after structural relaxation, from Alexandria.

Unit cell a=3.1728 b=3.1728 c=7.3754 alpha=90.00 beta=90.00 gamma=90.00
Closest atoms and distances in Å follow each position.
Fractional positions:
Pu  0.0000  0.0000  0.0000  8 Nb 3.10, 4 Pu 3.17
Nb  0.5000  0.5000  0.2897  4 V 2.73
Nb  0.5000  0.5000  0.7103  4 V 2.73
V  0.0000  0.0000  0.5000  8 Nb 2.73

Results
Space group ... P4/mmm, No. 123
Density ... 10.8 g cm⁻³
Total magnetic moment ... 5.431 μB per formula unit
DOS(E_F) ... 1.5754 states/eV/atom
Electronic total energy ... -10.708 eV/atom
Crystal system ... tetragonal
Polymorph energy (0 for the lowest one) ... 0.000 eV per atom


(5)
The following is a PBE calculation of V2PdPt3 after structural relaxation, from Alexandria.

Unit cell a=5.7054 b=5.7054 c=6.3998 alpha=102.20 beta=102.20 gamma=107.88
Closest atoms and distances in Å follow each position.
Fractional positions:
V  0.0981  0.6761  0.8757  6 Pt 2.53-2.74, 1 V 2.58, 1 Pd 2.61
V  0.3239  0.9019  0.6243  6 Pt 2.53-2.74, 1 V 2.58, 1 Pd 2.61
V  0.6761  0.0981  0.3757  6 Pt 2.53-2.74, 1 V 2.58, 1 Pd 2.61
V  0.9019  0.3239  0.1243  6 Pt 2.53-2.74, 1 V 2.58, 1 Pd 2.61
Pd  0.0650  0.9350  0.2500  4 V 2.61-2.85, 5 Pt 2.72-2.79
Pd  0.9350  0.0650  0.7500  4 V 2.61-2.85, 5 Pt 2.72-2.79
Pt  0.1884  0.4020  0.5502  4 V 2.57-2.74, 3 Pt 2.67-2.75, 2 Pd 2.72-2.75
Pt  0.3673  0.6327  0.2500  4 V 2.53-2.66, 4 Pt 2.67-2.75, 1 Pd 2.79
Pt  0.4020  0.1884  0.0502  4 V 2.57-2.74, 3 Pt 2.67-2.75, 2 Pd 2.72-2.75
Pt  0.5980  0.8116  0.9498  4 V 2.57-2.74, 3 Pt 2.67-2.75, 2 Pd 2.72-2.75
Pt  0.6327  0.3673  0.7500  4 V 2.53-2.66, 4 Pt 2.67-2.75, 1 Pd 2.79
Pt  0.8116  0.5980  0.4498  4 V 2.57-2.74, 3 Pt 2.67-2.75, 2 Pd 2.72-2.75

Results
Space group ... C2/c, No. 15
Density ... 14.2 g cm⁻³
Total magnetic moment ... 0.002 μB per formula unit
DOS(E_F) ... 1.0034 states/eV/atom
Electronic total energy ... -7.236 eV/atom
Crystal system ... monoclinic
Polymorph energy (0 for the lowest one) ... 0.123 eV per atom


(6)
The following is a PBE calculation of CaNpIn6 after structural relaxation, from Alexandria.

Unit cell a=4.6730 b=4.6730 c=9.3674 alpha=90.00 beta=90.00 gamma=90.00
Closest atoms and distances in Å follow each position.
Fractional positions:
Ca  0.0000  0.0000  0.0000  12 In 3.30-3.33
Np  0.0000  0.0000  0.5000  12 In 3.29-3.30
In  0.0000  0.5000  0.2529  8 In 3.29-3.33, 2 Np 3.29, 2 Ca 3.33
In  0.0000  0.5000  0.7471  8 In 3.29-3.33, 2 Np 3.29, 2 Ca 3.33
In  0.5000  0.0000  0.2529  8 In 3.29-3.33, 2 Np 3.29, 2 Ca 3.33
In  0.5000  0.0000  0.7471  8 In 3.29-3.33, 2 Np 3.29, 2 Ca 3.33
In  0.5000  0.5000  0.0000  4 Ca 3.30, 8 In 3.33
In  0.5000  0.5000  0.5000  8 In 3.29, 4 Np 3.30

Results
Space group ... P4/mmm, No. 123
Density ... 7.8 g cm⁻³
Total magnetic moment ... 4.206 μB per formula unit
DOS(E_F) ... 1.5905 states/eV/atom
Electronic total energy ... -4.079 eV/atom
Crystal system ... tetragonal


(7)
The following is a PBE calculation of Ba12Ga2Sn5 after structural relaxation, from Alexandria.

Unit cell a=10.6401 b=10.6401 c=11.9215 alpha=106.33 beta=106.33 gamma=47.16
Closest atoms and distances in Å follow each position.
Fractional positions:
Ba  0.0085  0.0085  0.1930  2 Sn 3.45-3.63, 2 Ga 3.80
Ba  0.0690  0.5761  0.8946  1 Ga 3.44, 3 Sn 3.46-3.79
Ba  0.0901  0.6071  0.4503  4 Sn 3.54-3.92
Ba  0.3929  0.9099  0.5497  4 Sn 3.54-3.92
Ba  0.4107  0.4107  0.2047  1 Sn 3.42, 2 Ga 3.61
Ba  0.4239  0.9310  0.1054  1 Ga 3.44, 3 Sn 3.46-3.79
Ba  0.5761  0.0690  0.8946  1 Ga 3.44, 3 Sn 3.46-3.79
Ba  0.5893  0.5893  0.7953  1 Sn 3.42, 2 Ga 3.61
Ba  0.6071  0.0901  0.4503  4 Sn 3.54-3.92
Ba  0.9099  0.3929  0.5497  4 Sn 3.54-3.92
Ba  0.9310  0.4239  0.1054  1 Ga 3.44, 3 Sn 3.46-3.79
Ba  0.9915  0.9915  0.8070  2 Sn 3.45-3.63, 2 Ga 3.80
Ga  0.3588  0.6412  0.0000  1 Ga 2.40
Ga  0.6412  0.3588  0.0000  1 Ga 2.40
Sn  0.1734  0.1734  0.8382  5 Ba 3.45-3.79
Sn  0.2005  0.2005  0.3451  7 Ba 3.46-3.63
Sn  0.5000  0.5000  0.5000  6 Ba 3.42-3.58
Sn  0.7995  0.7995  0.6549  7 Ba 3.46-3.63
Sn  0.8266  0.8266  0.1618  5 Ba 3.45-3.79

Results
Space group ... C2/m, No. 12
Density ... 4.2 g cm⁻³
Total magnetic moment ... 0.000 μB per formula unit
DOS(E_F) ... 0.4571 states/eV/atom
Electronic total energy ... -3.019 eV/atom
Crystal system ... monoclinic


(8)
The following is a PBE calculation of Nd2Cu5Pd5 after structural relaxation, from Alexandria.

Unit cell a=4.3696 b=5.1249 c=9.1595 alpha=90.00 beta=90.00 gamma=90.00
Closest atoms and distances in Å follow each position.
Fractional positions:
Nd  0.0000  0.0000  0.0000  10 Pd 3.04-3.37
Nd  0.0000  0.5000  0.5000  6 Pd 2.95-2.98
Cu  0.5000  0.0000  0.5000  4 Cu 2.57, 4 Pd 2.66
Cu  0.5000  0.2497  0.2566  3 Cu 2.56-2.57, 5 Pd 2.63-2.68
Cu  0.5000  0.2497  0.7434  3 Cu 2.56-2.57, 5 Pd 2.63-2.68
Cu  0.5000  0.7503  0.2566  3 Cu 2.56-2.57, 5 Pd 2.63-2.68
Cu  0.5000  0.7503  0.7434  3 Cu 2.56-2.57, 5 Pd 2.63-2.68
Pd  0.0000  0.0000  0.3347  6 Cu 2.63-2.66, 2 Pd 2.94
Pd  0.0000  0.0000  0.6653  6 Cu 2.63-2.66, 2 Pd 2.94
Pd  0.0000  0.5000  0.1776  4 Cu 2.63, 4 Pd 2.72-2.94
Pd  0.0000  0.5000  0.8224  4 Cu 2.63, 4 Pd 2.72-2.94
Pd  0.5000  0.5000  0.0000  4 Cu 2.68, 4 Pd 2.72

Results
Space group ... Pmmm, No. 47
Density ... 9.2 g cm⁻³
Total magnetic moment ... 0.000 μB per formula unit
DOS(E_F) ... 0.2676 states/eV/atom
Electronic total energy ... -5.136 eV/atom
Crystal system ... orthorhombic


(9)
The following is a PBE calculation of ScCr2Br after structural relaxation, from Alexandria.

Unit cell a=6.1966 b=6.1966 c=6.1966 alpha=102.00 beta=102.00 gamma=125.74
Closest atoms and distances in Å follow each position.
Fractional positions:
Sc  0.0000  0.0000  0.0000  2 Br 2.83, 4 Cr 3.03
Sc  0.7500  0.2500  0.5000  2 Br 2.83, 4 Cr 3.03
Cr  0.1577  0.6250  0.0327  2 Br 2.68, 2 Cr 2.87
Cr  0.3750  0.4077  0.5327  2 Br 2.68, 2 Cr 2.87
Cr  0.5923  0.1250  0.9673  2 Br 2.68, 2 Cr 2.87
Cr  0.8750  0.8423  0.4673  2 Br 2.68, 2 Cr 2.87
Br  0.2500  0.7500  0.5000  4 Cr 2.68, 2 Sc 2.83
Br  0.5000  0.5000  0.0000  4 Cr 2.68, 2 Sc 2.83

Results
Space group ... I-42d, No. 122
Uncorrected formation energy ... 0.639 eV/atom
Density ... 4.4 g cm⁻³
Total magnetic moment ... 8.571 μB per formula unit
DOS(E_F) ... 1.3258 states/eV/atom
Electronic total energy ... -6.174 eV/atom
Crystal system ... tetragonal
Polymorph energy (0 for the lowest one) ... 0.650 eV per atom


(10)
The following is a PBE calculation of La3EuS after structural relaxation, from Alexandria.

Unit cell a=5.6682 b=5.6682 c=5.6682 alpha=90.00 beta=90.00 gamma=90.00
Closest atoms and distances in Å follow each position.
Fractional positions:
La  0.0000  0.0000  0.5000  2 S 2.83
La  0.0000  0.5000  0.0000  2 S 2.83
La  0.5000  0.0000  0.0000  2 S 2.83
Eu  0.5000  0.5000  0.5000  12 La 4.01
S  0.0000  0.0000  0.0000  6 La 2.83

Results
Space group ... Pm-3m, No. 221
Uncorrected formation energy ... -0.731 eV/atom
Density ... 5.5 g cm⁻³
Total magnetic moment ... 7.529 μB per formula unit
DOS(E_F) ... 3.3091 states/eV/atom
Electronic total energy ... -6.568 eV/atom
Crystal system ... cubic